## A
Material: CrGeS2N
Method: DFT, PBE
State: relaxed

Results
The value obtained for the magnetic moment is 0.48 μB per formula unit. Its crystal system is tetragonal.

Unit cell a=4.8062 b=4.8062 c=3.5203 alpha=90.00 beta=90.00 gamma=90.00
Closest atoms and distances in Å follow each position.
Space group P4/mmm (No. 123)
Inequivalent atoms, fractional coordinates:
Cr 0.0000 0.0000 0.0000 x1  8 S 2.98
Ge 0.5000 0.5000 0.5000 x1  2 N 1.76
S 0.0000 0.5000 0.5000 x2  2 Ge 2.40
N 0.5000 0.5000 0.0000 x1  2 Ge 1.76

---

## B
Material: CrGeS2N
Method: DFT, PBE
State: relaxed

Results
The value obtained for the magnetic moment is 0.88 μB per formula unit. Its crystal system is tetragonal.

Unit cell a=4.7554 b=4.7554 c=3.5407 alpha=90.00 beta=90.00 gamma=90.00
Closest atoms and distances in Å follow each position.
Space group P4/mmm (No. 123)
Inequivalent atoms, fractional coordinates:
Cr 0.0000 0.0000 0.0000 x1  2 N 1.77
Ge 0.5000 0.5000 0.5000 x1  8 S 2.96
S 0.0000 0.5000 0.0000 x2  2 Cr 2.38
N 0.0000 0.0000 0.5000 x1  2 Cr 1.77

---

Pick B: it beats the second-best structure by 94.6 kJ/mol of atoms.

---

## A
Material: CrGeSe2N
Method: DFT, PBE
State: relaxed

Results
The value obtained for the magnetic moment is 3.06 μB per formula unit. Its crystal system is tetragonal.

Unit cell a=5.1512 b=5.1512 c=3.5611 alpha=90.00 beta=90.00 gamma=90.00
Closest atoms and distances in Å follow each position.
Space group P4/mmm (No. 123)
Inequivalent atoms, fractional coordinates:
Cr 0.0000 0.0000 0.0000 x1  8 Se 3.13
Ge 0.5000 0.5000 0.5000 x1  2 N 1.78
Se 0.0000 0.5000 0.5000 x2  2 Ge 2.58
N 0.5000 0.5000 0.0000 x1  2 Ge 1.78

---

## B
Material: CrGeSe2N
Method: DFT, PBE
State: relaxed

Results
The value obtained for the magnetic moment is 1.17 μB per formula unit. Its crystal system is tetragonal.

Unit cell a=5.0499 b=5.0499 c=3.5468 alpha=90.00 beta=90.00 gamma=90.00
Closest atoms and distances in Å follow each position.
Space group P4/mmm (No. 123)
Inequivalent atoms, fractional coordinates:
Cr 0.0000 0.0000 0.0000 x1  2 N 1.77
Ge 0.5000 0.5000 0.5000 x1  8 Se 3.09
Se 0.0000 0.5000 0.0000 x2  2 Cr 2.52
N 0.0000 0.0000 0.5000 x1  2 Cr 1.77

---

Pick B: it beats the second-best structure by 55.8 kJ/mol of atoms.

---

## A
Material: CrGeTeN2
Method: DFT, PBE
State: relaxed

Results
The value obtained for the magnetic moment is 0.30 μB per formula unit. Its crystal system is tetragonal.

Unit cell a=3.8518 b=3.8518 c=5.5291 alpha=90.00 beta=90.00 gamma=90.00
Closest atoms and distances in Å follow each position.
Space group P4/mmm (No. 123)
Inequivalent atoms, fractional coordinates:
Cr 0.0000 0.0000 0.0000 x1  4 N 1.93
Ge 0.5000 0.5000 0.5000 x1  4 Te 2.72
Te 0.0000 0.0000 0.5000 x1  4 Ge 2.72, 2 Cr 2.76
N 0.0000 0.5000 0.0000 x2  2 Cr 1.93

---

## B
Material: CrGeTeN2
Method: DFT, PBE
State: relaxed

Results
The value obtained for the magnetic moment is 3.66 μB per formula unit. Its crystal system is tetragonal.

Unit cell a=3.7418 b=3.7418 c=6.8790 alpha=90.00 beta=90.00 gamma=90.00
Closest atoms and distances in Å follow each position.
Space group P4/mmm (No. 123)
Inequivalent atoms, fractional coordinates:
Cr 0.0000 0.0000 0.0000 x1  4 Te 2.65
Ge 0.5000 0.5000 0.5000 x1  4 N 1.87
Te 0.5000 0.5000 0.0000 x1  4 Cr 2.65
N 0.0000 0.5000 0.5000 x2  2 Ge 1.87

---

Pick A: it beats the second-best structure by 50.2 kJ/mol of atoms.

---

## A
Material: CrGeTe2N
Method: DFT, PBE
State: relaxed

Results
The value obtained for the magnetic moment is 4.12 μB per formula unit. Its crystal system is tetragonal.

Unit cell a=5.6525 b=5.6525 c=3.5068 alpha=90.00 beta=90.00 gamma=90.00
Closest atoms and distances in Å follow each position.
Space group P4/mmm (No. 123)
Inequivalent atoms, fractional coordinates:
Cr 0.0000 0.0000 0.0000 x1  8 Te 3.33, 2 Cr 3.51
Ge 0.5000 0.5000 0.5000 x1  2 N 1.75
Te 0.0000 0.5000 0.5000 x2  2 Ge 2.83
N 0.5000 0.5000 0.0000 x1  2 Ge 1.75

---

## B
Material: CrGeTe2N
Method: DFT, PBE
State: relaxed

Results
The value obtained for the magnetic moment is 1.30 μB per formula unit. Its crystal system is tetragonal.

Unit cell a=5.4391 b=5.4391 c=3.5454 alpha=90.00 beta=90.00 gamma=90.00
Closest atoms and distances in Å follow each position.
Space group P4/mmm (No. 123)
Inequivalent atoms, fractional coordinates:
Cr 0.0000 0.0000 0.0000 x1  2 N 1.77
Ge 0.5000 0.5000 0.5000 x1  8 Te 3.25, 2 Ge 3.55
Te 0.0000 0.5000 0.0000 x2  2 Cr 2.72
N 0.0000 0.0000 0.5000 x1  2 Cr 1.77

---

Pick B: it beats the second-best structure by 52.9 kJ/mol of atoms.